AcPaFe2O6 | Alexandria via LeMat-Bulk | PBE with a Hubbard U | optimized geometry; raw total energy = -8.10 eV/atom; space-group type = No. 1; magnetic moment = 8.01 μB per formula unit
1.0
5.761 -0.026 -0.027
2.858 4.974 0.026
2.852 1.688 4.979
Ac Pa Fe O
1 1 2 6
direct
0.797 0.793 0.609
0.316 0.313 0.058
0.530 0.528 0.422
0.009 0.014 0.952
0.616 0.244 0.232
0.258 0.898 0.245
0.913 0.626 0.222
0.355 0.719 0.763
0.713 0.181 0.741
0.155 0.346 0.772